1.
YTiI2O GGA-PBEsol optimized geometry; symmetry = P4/mmm, No. 123; total magnetic moment = 2.96 μB per cell; E_form (uncorrected) = -0.83 eV per atom
1.0
-2.286 3.340 -0.494
-4.235 -2.372 3.555
2.625 2.506 4.799
I Y O Ti
2 1 1 1
direct
0.000 0.000 0.500
0.000 0.500 0.000
0.000 0.000 0.000
0.500 0.000 0.000
0.500 0.500 0.500

2.
LaCuBr2 GGA-PBEsol optimized geometry; symmetry = I4/mmm, No. 139; total magnetic moment = 0.00 μB per cell; E_form (uncorrected) = -0.89 eV per atom; energy above the lowest structure with this stoichiometry = 0.000 eV per atom
1.0
4.674 0.000 0.000
-2.337 4.810 0.011
0.000 -2.280 4.080
Br Cu La
2 1 1
direct
0.750 0.500 0.250
0.250 0.500 0.750
0.000 0.000 0.000
0.500 0.000 0.500

3.
Na2CuBiO GGA-PBEsol optimized geometry; symmetry = P4/mmm, No. 123; total magnetic moment = 0.00 μB per cell; E_form (uncorrected) = -0.34 eV per atom
1.0
-2.012 -2.250 -1.581
1.277 -3.964 4.017
-4.492 1.779 3.183
O Na Bi Cu
1 2 1 1
direct
0.500 0.000 0.000
0.000 0.000 0.500
0.000 0.500 0.000
0.500 0.500 0.500
0.000 0.000 0.000